[1]
Material: InNi6C
Method: DFT, PBE-GGA
State: optimized geometry

a = 5.0305 Å, b = 5.0305 Å, c = 13.4670 Å
α = 90.00°, β = 90.00°, γ = 120.00°
Space group R-3m (No. 166, hexagonal axes)
Symmetry-distinct sites (fractional):
In  0.0000  0.0000  0.0000 [3 per cell]
Ni  0.0139  0.5070  0.9123 [18 per cell]
C  0.0000  0.0000  0.5000 [3 per cell]

## Properties
D(E_F): 23.9 states/eV/cell
Raw total energy: -45.8 eV per formula unit
Formation energy: 0.112 eV per atom
ρ: 8.1 Mg/m³



[2]
Material: La3Ru
Method: DFT, PBE-GGA
State: optimized geometry

a = 3.874 Å, b = 6.945 Å, c = 9.584 Å
α = 90.00°, β = 90.00°, γ = 90.00°
Space group Pmmn (No. 59, origin choice 2)
Symmetry-distinct sites (fractional):
La  0.250  0.014  0.171 [4 per cell]
La  0.250  0.250  0.533 [2 per cell]
Ru  0.250  0.750  0.671 [2 per cell]

## Properties
D(E_F): 10.1 states/eV/cell
Raw total energy: -24.5 eV per formula unit
Formation energy: -0.121 eV per atom
ρ: 6.7 Mg/m³